Record 1
Material: LaTaAl2Ni
Method: DFT, GGA-PBEsol
State: optimized geometry

Results
V = 20.29 Å³ per atom
calculated total energy = -6.046 eV/atom
D(E_F) = 5.9 states/eV per cell
formation enthalpy at 0 K = 0.4015 eV/atom

Lattice parameters (Å, degrees): 4.5279 4.5279 4.9482 90.00 90.00 90.00
With the nearest neighbours (Å) after each atom.
Fractional positions:
Ni 0.0000 0.0000 0.0000  4 Al 2.26, 2 La 2.47
Al 0.5000 0.0000 0.0000  2 Ni 2.26
Al 0.0000 0.5000 0.0000  2 Ni 2.26
Ta 0.5000 0.5000 0.5000  4 La 3.20, 8 Al 3.35
La 0.0000 0.0000 0.5000  2 Ni 2.47

Record 2
Material: LaAl12O19
Method: DFT, GGA-PBEsol
State: optimized geometry

Results
V = 9.37 Å³ per atom
E_form (uncorrected) = -3.031 eV per atom
calculated total energy = -7.850 eV/atom
D(E_F) = 9.0 states/eV per cell

Lattice parameters (Å, degrees): 5.6014 5.6014 22.0662 90.00 90.00 120.00
With the nearest neighbours (Å) after each atom.
Fractional positions:
Al 0.0000 0.0000 0.9998  6 O 1.90-1.91
Al 0.6656 0.8328 0.8911  6 O 1.84-2.00
Al 0.1672 0.8328 0.8911  6 O 1.84-2.00
Al 0.3344 0.1672 0.3911  6 O 1.84-2.00
Al 0.0000 0.0000 0.2406  4 O 1.78-1.97
Al 0.3333 0.6667 0.1899  6 O 1.88-1.97
Al 0.0000 0.0000 0.4998  6 O 1.90-1.91
Al 0.3333 0.6667 0.0263  4 O 1.84
Al 0.3333 0.6667 0.4732  4 O 1.82-1.83
Al 0.8328 0.1672 0.3911  6 O 1.84-2.00
Al 0.1687 0.3373 0.6081  6 O 1.84-1.98
Al 0.8328 0.6656 0.3911  6 O 1.84-2.00
Al 0.6667 0.3333 0.5263  4 O 1.84
Al 0.8313 0.1687 0.1081  6 O 1.84-1.98
Al 0.6667 0.3333 0.9732  4 O 1.82-1.83
Al 0.3373 0.1687 0.1081  6 O 1.84-1.98
Al 0.6627 0.8313 0.6081  6 O 1.84-1.98
Al 0.3333 0.6667 0.3093  6 O 1.88-1.98
Al 0.6667 0.3333 0.6899  6 O 1.88-1.97
Al 0.6667 0.3333 0.8093  6 O 1.88-1.98
Al 0.1672 0.3344 0.8911  6 O 1.84-2.00
Al 0.1687 0.8313 0.6081  6 O 1.84-1.98
Al 0.0000 0.0000 0.7406  4 O 1.78-1.97
Al 0.8313 0.6627 0.1081  6 O 1.84-1.98
O 0.1820 0.8180 0.2492  3 Al 1.78-1.98
O 0.3102 0.1551 0.9475  4 Al 1.82-2.00
O 0.1551 0.8449 0.4476  4 Al 1.82-2.00
O 0.9916 0.4958 0.3493  3 Al 1.84-1.88
O 0.8449 0.6898 0.9475  4 Al 1.82-2.00
O 0.1820 0.3640 0.2492  3 Al 1.78-1.98
O 0.5042 0.4958 0.3493  3 Al 1.84-1.88
O 0.6917 0.8459 0.0533  4 Al 1.84-1.98
O 0.6360 0.8180 0.2492  3 Al 1.78-1.98
O 0.0084 0.5042 0.8493  3 Al 1.84-1.88
O 0.0088 0.5044 0.6501  3 Al 1.84-1.88
O 0.6899 0.8449 0.4476  4 Al 1.82-2.00
O 0.0000 0.0000 0.8510  3 Al 1.85
O 0.0000 0.0000 0.1514  4 Al 1.89-1.97
O 0.3640 0.1820 0.7491  3 Al 1.78-1.98
O 0.4958 0.9916 0.8493  3 Al 1.84-1.88
O 0.9912 0.4956 0.1501  3 Al 1.84-1.88
O 0.6667 0.3333 0.4431  4 Al 1.84-1.98
O 0.5044 0.0088 0.1501  3 Al 1.84-1.88
O 0.1541 0.3083 0.0533  4 Al 1.84-1.98
O 0.0000 0.0000 0.6514  4 Al 1.89-1.97
O 0.6667 0.3333 0.0564  4 Al 1.83-1.96
O 0.5044 0.4956 0.1501  3 Al 1.84-1.88
O 0.8180 0.6360 0.7491  3 Al 1.78-1.98
O 0.1541 0.8459 0.0533  4 Al 1.84-1.98
O 0.3333 0.6667 0.5564  4 Al 1.83-1.96
O 0.8459 0.1541 0.5533  4 Al 1.84-1.98
O 0.3083 0.1541 0.5533  4 Al 1.84-1.98
O 0.3333 0.6667 0.9431  4 Al 1.84-1.98
O 0.5042 0.0084 0.3493  3 Al 1.84-1.88
O 0.8459 0.6917 0.5533  4 Al 1.84-1.98
O 0.8449 0.1551 0.9475  4 Al 1.82-2.00
O 0.1551 0.3101 0.4476  4 Al 1.82-2.00
O 0.8180 0.1820 0.7491  3 Al 1.78-1.98
O 0.4958 0.5042 0.8493  3 Al 1.84-1.88
O 0.4956 0.5044 0.6501  3 Al 1.84-1.88
O 0.0000 0.0000 0.3511  3 Al 1.85
O 0.4956 0.9912 0.6501  3 Al 1.84-1.88
La 0.6667 0.3333 0.2513  12 O 2.68-2.81
La 0.3333 0.6667 0.7513  12 O 2.67-2.81